1.
The following is a DFT calculation (meta-GGA SCAN) of CaIrIO2 at its PBEsol-relaxed geometry.

abc: 4.099 4.099 6.254
angles: 90.00 90.00 90.00
Site moments in Bohr magnetons follow the coordinates.
Atoms (fractional coordinates):
O1 0.500 0.000 0.000  0.80
O2 0.000 0.500 0.000  0.80
I1 0.000 0.000 0.500  -0.02
Ir1 0.500 0.500 0.500  1.40
Ca1 0.000 0.000 0.000  0.00

formation energy from raw total energies: 0.211 eV per atom
SG: No. 123
total moment: 3.43 μB/cell



2.
The following is a DFT calculation (meta-GGA SCAN) of LiLaRu2Pb at its PBEsol-relaxed geometry.

abc: 4.783 4.783 6.016
angles: 90.00 90.00 90.00
Site moments in Bohr magnetons follow the coordinates.
Atoms (fractional coordinates):
Ru1 0.500 0.000 0.000  0.98
Ru2 0.000 0.500 0.000  0.98
La1 0.000 0.000 0.000  -0.08
Pb1 0.000 0.000 0.500  0.03
Li1 0.500 0.500 0.500  0.00

SG: No. 123
formation energy from the elements: 1303 meV/atom
total moment: 1.97 μB/cell



3.
The following is a DFT calculation (meta-GGA SCAN) of CrNi6Rh at its PBEsol-relaxed geometry.

abc: 6.096 6.096 9.960
angles: 90.00 90.00 109.51
Site moments in Bohr magnetons follow the coordinates.
Atoms (fractional coordinates):
Ni1 0.378 0.130 0.628  -0.70
Ni2 0.000 0.000 0.500  -0.86
Ni3 0.622 0.870 0.372  -0.70
Ni4 0.127 0.379 0.878  -0.32
Ni5 0.000 0.000 0.000  -0.30
Ni6 0.253 0.747 0.244  -0.52
Ni7 0.130 0.378 0.628  -0.70
Ni8 0.747 0.253 0.244  -0.52
Ni9 0.621 0.873 0.122  -0.32
Ni10 0.500 0.500 0.000  -0.02
Ni11 0.622 0.870 0.628  -0.70
Ni12 0.873 0.621 0.122  -0.32
Ni13 0.127 0.379 0.122  -0.32
Ni14 0.870 0.622 0.628  -0.70
Ni15 0.130 0.378 0.372  -0.70
Ni16 0.253 0.747 0.756  -0.52
Ni17 0.379 0.127 0.878  -0.32
Ni18 0.379 0.127 0.122  -0.32
Ni19 0.378 0.130 0.372  -0.70
Ni20 0.621 0.873 0.878  -0.32
Ni21 0.873 0.621 0.878  -0.32
Ni22 0.747 0.253 0.756  -0.52
Ni23 0.500 0.500 0.500  -0.67
Ni24 0.870 0.622 0.372  -0.70
Cr1 0.500 0.500 0.750  2.85
Cr2 0.749 0.251 0.000  2.69
Cr3 0.500 0.500 0.250  2.85
Cr4 0.251 0.749 0.000  2.69
Rh1 0.000 0.000 0.250  -0.56
Rh2 0.749 0.251 0.500  -0.72
Rh3 0.000 0.000 0.750  -0.56
Rh4 0.251 0.749 0.500  -0.72

SG: No. 65
formation energy from the elements: 37 meV/atom
total moment: 2.13 μB/cell